No. 1
DFT (GGA-PBE) results for an optimized crystal structure of NaSmY2Tl4.

a = 5.349 Å, b = 5.349 Å, c = 9.426 Å
α = 73.52°, β = 73.52°, γ = 60.00°
Positions (direct):
Sm1 0.000 0.000 0.000
Y1 0.246 0.246 0.262
Y2 0.754 0.754 0.738
Tl1 0.624 0.624 0.128
Tl2 0.126 0.126 0.622
Tl3 0.376 0.376 0.872
Tl4 0.874 0.874 0.378
Na1 0.500 0.500 0.500

Calculated values
Symmetry = R-3m (166)
Energy relative to the elements = -2.50 eV/f.u.
DOS(E_F) = 4.59 states/eV/f.u.
Mass density = 8.8 g/cm3

=====

No. 2
DFT (GGA-PBE) results for an optimized crystal structure of Zr2FeHg2.

a = 6.580 Å, b = 6.580 Å, c = 4.991 Å
α = 90.00°, β = 90.00°, γ = 90.00°
Positions (direct):
Hg1 0.341 0.159 0.500
Hg2 0.659 0.841 0.500
Hg3 0.841 0.341 0.500
Hg4 0.159 0.659 0.500
Zr1 0.334 0.834 0.000
Zr2 0.666 0.166 0.000
Zr3 0.834 0.666 0.000
Zr4 0.166 0.334 0.000
Fe1 0.500 0.500 0.000
Fe2 0.000 0.000 0.000

Calculated values
Symmetry = P4/mbm (127)
Energy relative to the elements = 1.53 eV/f.u.
DOS(E_F) = 5.76 states/eV/f.u.
Energy above the most stable polymorph in this dataset = 56 kJ/mol of formula units
Mass density = 9.8 g/cm3

=====

No. 3
DFT (GGA-PBE) results for an optimized crystal structure of LiErAlIr.

a = 4.597 Å, b = 4.597 Å, c = 4.597 Å
α = 60.00°, β = 60.00°, γ = 60.00°
Positions (direct):
Li1 0.000 0.000 0.000
Er1 0.250 0.250 0.250
Ir1 0.500 0.500 0.500
Al1 0.750 0.750 0.750

Calculated values
Symmetry = F-43m (216)
Energy relative to the elements = -2.49 eV/f.u.
DOS(E_F) = 3.43 states/eV/f.u.
Mass density = 9.5 g/cm3

=====

Copy entry 1 word for word.
DFT (GGA-PBE) results for an optimized crystal structure of NaSmY2Tl4.

a = 5.349 Å, b = 5.349 Å, c = 9.426 Å
α = 73.52°, β = 73.52°, γ = 60.00°
Positions (direct):
Sm1 0.000 0.000 0.000
Y1 0.246 0.246 0.262
Y2 0.754 0.754 0.738
Tl1 0.624 0.624 0.128
Tl2 0.126 0.126 0.622
Tl3 0.376 0.376 0.872
Tl4 0.874 0.874 0.378
Na1 0.500 0.500 0.500

Calculated values
Symmetry = R-3m (166)
Energy relative to the elements = -2.50 eV/f.u.
DOS(E_F) = 4.59 states/eV/f.u.
Mass density = 8.8 g/cm3